Here is crystalline LiFeAgS3 at its relaxed geometry from the Open Quantum Materials Database. Energies are from PBE.

Size of the total moment: 8.67 μB/cell
Final energy: -108.3 eV per cell

Lattice parameters (Å, degrees): 3.2459 13.1232 9.7034 90.00 90.00 90.00
With the nearest neighbours (Å) after each atom.
Space group Cmcm (No. 63)
Unique sites:
Li (0.0000, 0.1764, 0.2500) (multiplicity 4)  4 S 2.43-2.58
Fe (0.0000, 0.5000, 0.0000) (multiplicity 4)  6 S 2.30-2.48
Ag (0.0000, 0.1430, 0.7500) (multiplicity 4)  2 S 2.38
S (0.0000, 0.1238, 0.5059) (multiplicity 8)  2 Fe 2.30, 1 Ag 2.38
S (0.0000, 0.4614, 0.7500) (multiplicity 4)  2 Li 2.43, 2 Fe 2.48

=====

Here is crystalline Be2BiPd at its relaxed geometry from the Open Quantum Materials Database. Energies are from PBE.

Final energy: -58.7 eV per cell

Lattice parameters (Å, degrees): 6.3953 6.3953 6.3953 90.00 90.00 90.00
With the nearest neighbours (Å) after each atom.
Space group F-43m (No. 216)
Unique sites:
Be (0.0000, 0.0000, 0.0000) (multiplicity 4)  4 Pd 2.77, 4 Be 2.77
Be (0.2500, 0.2500, 0.2500) (multiplicity 4)  4 Bi 2.77, 4 Be 2.77
Bi (0.0000, 0.0000, 0.5000) (multiplicity 4)  4 Be 2.77, 4 Pd 2.77
Pd (0.2500, 0.2500, 0.7500) (multiplicity 4)  4 Bi 2.77, 4 Be 2.77

=====

Here is crystalline CdBrO2 at its relaxed geometry from the Open Quantum Materials Database. Energies are from PBE.

Final energy: -42.7 eV per cell

Lattice parameters (Å, degrees): 3.4639 3.4639 18.5375 90.00 90.00 120.00
With the nearest neighbours (Å) after each atom.
Space group R-3m (No. 166, hexagonal axes)
Unique sites:
Cd (0.0000, 0.0000, 0.0000) (multiplicity 3)  6 O 2.29
Br (0.0000, 0.0000, 0.5000) (multiplicity 3)  2 O 1.96
O (0.0000, 0.0000, 0.3940) (multiplicity 6)  1 Br 1.96

=====

Here is crystalline ErInTe at its relaxed geometry from the Open Quantum Materials Database. Energies are from PBE.

Size of the total moment: 0.00 μB/cell
Final energy: -45.1 eV per cell

Lattice parameters (Å, degrees): 7.2567 7.2567 7.2567 90.00 90.00 90.00
With the nearest neighbours (Å) after each atom.
Space group F-43m (No. 216)
Unique sites:
Er (0.0000, 0.0000, 0.0000) (multiplicity 4)  4 Te 3.14
In (0.0000, 0.0000, 0.5000) (multiplicity 4)  4 Te 3.14
Te (0.2500, 0.2500, 0.2500) (multiplicity 4)  4 Er 3.14, 4 In 3.14

=====

Here is crystalline PuInSn at its relaxed geometry from the Open Quantum Materials Database. Energies are from PBE.

Size of the total moment: 21.49 μB/cell
Final energy: -83.0 eV per cell

Lattice parameters (Å, degrees): 7.1645 7.1645 7.1645 90.00 90.00 90.00
With the nearest neighbours (Å) after each atom.
Space group F-43m (No. 216)
Unique sites:
Pu (0.0000, 0.0000, 0.0000) (multiplicity 4)  4 In 3.10, 4 Sn 3.10
In (0.2500, 0.2500, 0.2500) (multiplicity 4)  4 Pu 3.10
Sn (0.2500, 0.2500, 0.7500) (multiplicity 4)  4 Pu 3.10

=====

Here is crystalline Na2FeTcN6 at its relaxed geometry from the Open Quantum Materials Database. Energies are from PBE.

Size of the total moment: 1.38 μB/cell
Final energy: -136.2 eV per cell

Lattice parameters (Å, degrees): 4.8773 4.8773 8.4080 90.00 90.00 90.00
With the nearest neighbours (Å) after each atom.
Space group I4/m (No. 87)
Unique sites:
Na (0.0000, 0.5000, 0.2500) (multiplicity 4)  8 N 2.19-2.45
Fe (0.0000, 0.0000, 0.0000) (multiplicity 2)  4 N 1.99
Tc (0.0000, 0.0000, 0.5000) (multiplicity 2)  6 N 1.92-2.10
N (0.0000, 0.0000, 0.2718) (multiplicity 4)  1 Tc 1.92
N (0.0806, 0.3992, 0.0000) (multiplicity 8)  1 N 1.26

=====

Here is crystalline Al2TlAg2 at its relaxed geometry from the Open Quantum Materials Database. Energies are from PBE.

Final energy: -29.7 eV per cell

Lattice parameters (Å, degrees): 4.2142 4.2142 11.7756 90.00 90.00 90.00
With the nearest neighbours (Å) after each atom.
Space group I4/mmm (No. 139)
Unique sites:
Al (0.0000, 0.0000, 0.1100) (multiplicity 4)  1 Al 2.59, 4 Ag 2.68
Tl (0.0000, 0.0000, 0.5000) (multiplicity 2)  8 Al 3.25, 8 Ag 3.62
Ag (0.0000, 0.5000, 0.2500) (multiplicity 4)  4 Al 2.68, 4 Ag 2.98

=====

Here is crystalline PaCo2 at its relaxed geometry from the Open Quantum Materials Database. Energies are from PBE.

Size of the total moment: 0.18 μB/cell
Formation energy: -378 meV/atom

Lattice parameters (Å, degrees): 6.9960 6.9960 6.9960 90.00 90.00 90.00
With the nearest neighbours (Å) after each atom.
Space group Fd-3m (No. 227, origin choice 2)
Unique sites:
Pa (0.1250, 0.1250, 0.1250) (multiplicity 8)  12 Co 2.90, 4 Pa 3.03
Co (0.0000, 0.0000, 0.5000) (multiplicity 16)  6 Co 2.47

=====

Here is crystalline ZnFeReGe at its relaxed geometry from the Open Quantum Materials Database. Energies are from PBE.

Size of the total moment: 8.04 μB/cell
E above lowest polymorph: 0 meV per atom

Lattice parameters (Å, degrees): 5.9992 5.9992 5.9992 90.00 90.00 90.00
With the nearest neighbours (Å) after each atom.
Space group F-43m (No. 216)
Unique sites:
Zn (0.0000, 0.0000, 0.0000) (multiplicity 4)  4 Fe 2.60, 4 Re 2.60
Fe (0.2500, 0.2500, 0.7500) (multiplicity 4)  4 Ge 2.60, 4 Zn 2.60
Re (0.2500, 0.2500, 0.2500) (multiplicity 4)  4 Ge 2.60, 4 Zn 2.60
Ge (0.0000, 0.0000, 0.5000) (multiplicity 4)  4 Fe 2.60, 4 Re 2.60

=====

Here is crystalline Lu4InNiC2 at its relaxed geometry from the Open Quantum Materials Database. Energies are from PBE.

Size of the total moment: 0.03 μB/cell
Final energy: -47.8 eV per cell

Lattice parameters (Å, degrees): 3.5372 3.5372 14.5687 90.00 90.00 120.00
With the nearest neighbours (Å) after each atom.
Space group P-6m2 (No. 187)
Unique sites:
Lu (0.0000, 0.0000, 0.1344) (multiplicity 2)  3 C 2.44
Lu (0.3333, 0.6667, 0.3146) (multiplicity 2)  3 C 2.41
In (0.0000, 0.0000, 0.5000) (multiplicity 1)  6 Lu 3.39, 6 In 3.54
Ni (0.3333, 0.6667, 0.0000) (multiplicity 1)  6 Lu 2.83
C (0.6667, 0.3333, 0.2267) (multiplicity 2)  6 Lu 2.41-2.44

=====

Here is crystalline SmAl3Ni2 at its relaxed geometry from the Open Quantum Materials Database. Energies are from PBE.

Size of the total moment: 0.00 μB/cell
Final energy: -30.9 eV per cell

Lattice parameters (Å, degrees): 5.3017 5.3017 4.0085 90.00 90.00 120.00
With the nearest neighbours (Å) after each atom.
Space group P6/mmm (No. 191)
Unique sites:
Sm (0.0000, 0.0000, 0.0000) (multiplicity 1)  6 Ni 3.06, 12 Al 3.32
Al (0.0000, 0.5000, 0.5000) (multiplicity 3)  4 Ni 2.52, 4 Al 2.65
Ni (0.3333, 0.6667, 0.0000) (multiplicity 2)  6 Al 2.52

=====

Here is crystalline DyHoAl4Cu2 at its relaxed geometry from the Open Quantum Materials Database. Energies are from PBE.

Size of the total moment: 0.01 μB/cell
Final energy: -70.3 eV per cell

Lattice parameters (Å, degrees): 6.7792 4.2153 10.0752 90.00 90.00 90.00
With the nearest neighbours (Å) after each atom.
Space group Amm2 (No. 38)
Unique sites:
Dy (0.0000, 0.0000, 0.0000) (multiplicity 2)  3 Cu 2.86-3.03, 6 Al 3.02-3.20
Ho (0.5000, 0.0000, 0.1451) (multiplicity 2)  3 Cu 2.86-3.03, 6 Al 3.02-3.20
Al (0.1970, 0.0000, 0.7113) (multiplicity 4)  3 Cu 2.55-2.60, 1 Al 2.67
Al (0.3034, 0.0000, 0.4336) (multiplicity 4)  3 Cu 2.55-2.60, 1 Al 2.67
Cu (0.0000, 0.0000, 0.2838) (multiplicity 2)  6 Al 2.55-2.60
Cu (0.5000, 0.0000, 0.8613) (multiplicity 2)  6 Al 2.55-2.60

=====

Here is crystalline Ni5P at its relaxed geometry from the Open Quantum Materials Database. Energies are from PBE.

Size of the total moment: 0.10 μB/cell
Final energy: -139.4 eV per cell

Lattice parameters (Å, degrees): 4.9517 6.9469 7.5883 90.00 98.58 90.00
With the nearest neighbours (Å) after each atom.
Space group C2/m (No. 12)
Unique sites:
Ni (0.0000, 0.1838, 0.0000) (multiplicity 4)  2 P 2.22
Ni (0.0351, 0.2384, 0.6742) (multiplicity 8)  2 P 2.27-2.34, 8 Ni 2.44-2.53
Ni (0.1493, 0.5000, 0.1480) (multiplicity 4)  1 P 2.22
Ni (0.2432, 0.5000, 0.4914) (multiplicity 4)  1 P 2.24, 7 Ni 2.43-2.50
P (0.2256, 0.0000, 0.2116) (multiplicity 4)  8 Ni 2.22-2.34